# 1
Sm11Dy9Er4 | PBE | optimized geometry

Values from the calculation:
density = 8.0 g cm⁻³
magnetic moment = 0.00 μB/f.u.
Fermi-level density of states = 61.418 states/eV/cell
E_form = 124 kJ/mol of formula units

Unit cell a=16.8704 b=25.5611 c=3.6385 alpha=90.00 beta=90.00 gamma=90.00
Space group Cmmm (No. 65)
One atom of each set of equivalent atoms:
1 Sm 0.0000 0.0000 0.0000
2 Sm 0.0000 0.1607 0.0000
3 Sm 0.0000 0.3686 0.0000
4 Sm 0.2075 0.5000 0.0000
5 Sm 0.2245 0.1811 0.0000
6 Dy 0.0000 0.5000 0.5000
7 Dy 0.1022 0.2676 0.5000
8 Dy 0.1412 0.0730 0.5000
9 Er 0.1569 0.3983 0.5000



# 2
Ho3AlZn2 | PBE | optimized geometry

Values from the calculation:
density = 7.9 g cm⁻³
magnetic moment = 0.00 μB/f.u.
Fermi-level density of states = 10.223 states/eV/cell
E_form = -212 kJ/mol of formula units

Unit cell a=5.0434 b=5.0434 c=12.3816 alpha=90.00 beta=90.00 gamma=120.00
Space group P-3m1 (No. 164)
One atom of each set of equivalent atoms:
1 Ho 0.0000 0.0000 0.2479
2 Ho 0.3333 0.6667 0.4169
3 Ho 0.3333 0.6667 0.9189
4 Al 0.3333 0.6667 0.6668
5 Zn 0.0000 0.0000 0.0000
6 Zn 0.0000 0.0000 0.5000
7 Zn 0.3333 0.6667 0.1676



# 3
MgTeH3 | PBE | optimized geometry

Values from the calculation:
density = 4.4 g cm⁻³
magnetic moment = 0.00 μB/f.u.
Fermi-level density of states = 1.403 states/eV/cell
energy above the most stable polymorph in this dataset = 0.0 kJ/mol of atoms

Unit cell a=3.8770 b=3.8770 c=3.8770 alpha=90.00 beta=90.00 gamma=90.00
Space group Pm-3m (No. 221)
One atom of each set of equivalent atoms:
1 Mg 0.0000 0.0000 0.0000
2 Te 0.5000 0.5000 0.5000
3 H 0.0000 0.0000 0.5000



# 4
NbZn2Ru2 | PBE | optimized geometry

Values from the calculation:
density = 9.3 g cm⁻³
magnetic moment = 0.00 μB/f.u.
Fermi-level density of states = 8.560 states/eV/cell
E_form = 34 kJ/mol of formula units
energy above the most stable polymorph in this dataset = 7.2 kJ/mol of atoms

Unit cell a=6.9595 b=6.9595 c=3.1492 alpha=90.00 beta=90.00 gamma=90.00
Space group P4/mbm (No. 127)
One atom of each set of equivalent atoms:
1 Nb 0.0000 0.0000 0.0000
2 Zn 0.1529 0.3471 0.5000
3 Ru 0.1449 0.6449 0.0000